No. 1
The following is a DFT calculation (PBE-GGA) of UPaTc2 after structural relaxation.

a = 7.254 Å, b = 5.908 Å, c = 4.026 Å
α = 90.00°, β = 90.47°, γ = 90.00°
Fractional positions:
U 0.000 0.000 0.000
U 0.500 0.500 0.000
Pa 0.000 0.500 0.000
Pa 0.500 0.000 0.000
Tc 0.240 0.000 0.387
Tc 0.260 0.500 0.613
Tc 0.740 0.500 0.387
Tc 0.760 0.000 0.613

Computed properties:
Formation energy from the elements (meV per atom): 247
Theoretical density (Mg/m³): 12.80
Crystal system: monoclinic
Space-group type: No. 12
DOS(E_F) (states/eV/cell): 6.42

No. 2
The following is a DFT calculation (PBE-GGA) of UPaTc after structural relaxation.

a = 3.341 Å, b = 3.341 Å, c = 6.317 Å
α = 90.00°, β = 90.00°, γ = 120.00°
Fractional positions:
U 0.000 0.000 0.000
Pa 0.667 0.333 0.334
Tc 0.333 0.667 0.681

Computed properties:
Formation energy from the elements (meV per atom): 170
Theoretical density (Mg/m³): 15.42
Crystal system: trigonal
Space-group type: No. 156
DOS(E_F) (states/eV/cell): 5.31

No. 3
The following is a DFT calculation (PBE-GGA) of UPa2Tc3 after structural relaxation.

a = 10.376 Å, b = 5.990 Å, c = 4.125 Å
α = 90.00°, β = 90.52°, γ = 90.00°
Fractional positions:
U 0.000 0.000 0.000
U 0.500 0.500 0.000
Pa 0.167 0.500 0.000
Pa 0.333 0.000 0.000
Pa 0.667 0.000 0.000
Pa 0.833 0.500 0.000
Tc 0.000 0.500 0.500
Tc 0.250 0.250 0.500
Tc 0.250 0.750 0.500
Tc 0.500 0.000 0.500
Tc 0.750 0.250 0.500
Tc 0.750 0.750 0.500

Computed properties:
Formation energy from the elements (meV per atom): 110
Theoretical density (Mg/m³): 12.88
Crystal system: monoclinic
Space-group type: No. 12
DOS(E_F) (states/eV/cell): 25.77

No. 4
The following is a DFT calculation (PBE-GGA) of UPa6Tc5 after structural relaxation.

a = 7.414 Å, b = 7.414 Å, c = 6.891 Å
α = 90.00°, β = 90.00°, γ = 140.15°
Fractional positions:
U 0.000 0.000 0.000
Pa 0.163 0.837 0.243
Pa 0.163 0.837 0.757
Pa 0.500 0.500 0.244
Pa 0.500 0.500 0.756
Pa 0.837 0.163 0.243
Pa 0.837 0.163 0.757
Tc 0.000 0.000 0.500
Tc 0.322 0.678 0.000
Tc 0.330 0.670 0.500
Tc 0.670 0.330 0.500
Tc 0.678 0.322 0.000

Computed properties:
Formation energy from the elements (meV per atom): -142
Theoretical density (Mg/m³): 14.46
Crystal system: orthorhombic
Space-group type: No. 65
DOS(E_F) (states/eV/cell): 13.88

No. 5
The following is a DFT calculation (PBE-GGA) of UPaZnTc after structural relaxation.

a = 6.683 Å, b = 6.683 Å, c = 6.683 Å
α = 90.00°, β = 90.00°, γ = 90.00°
Fractional positions:
U 0.000 0.000 0.000
U 0.000 0.500 0.500
U 0.500 0.000 0.500
U 0.500 0.500 0.000
Pa 0.250 0.250 0.750
Pa 0.250 0.750 0.250
Pa 0.750 0.250 0.250
Pa 0.750 0.750 0.750
Zn 0.000 0.000 0.500
Zn 0.000 0.500 0.000
Zn 0.500 0.000 0.000
Zn 0.500 0.500 0.500
Tc 0.250 0.250 0.250
Tc 0.250 0.750 0.750
Tc 0.750 0.250 0.750
Tc 0.750 0.750 0.250

Computed properties:
Formation energy from the elements (meV per atom): 0
Theoretical density (Mg/m³): 14.07
Crystal system: cubic
Space-group type: No. 216
DOS(E_F) (states/eV/cell): 28.50

No. 6
The following is a DFT calculation (PBE-GGA) of PaVTc4 after structural relaxation.

a = 5.265 Å, b = 5.265 Å, c = 5.265 Å
α = 60.00°, β = 60.00°, γ = 60.00°
Fractional positions:
Pa 0.000 0.000 0.000
V 0.250 0.250 0.250
Tc 0.127 0.624 0.624
Tc 0.624 0.127 0.624
Tc 0.624 0.624 0.127
Tc 0.624 0.624 0.624

Computed properties:
Formation energy from the elements (meV per atom): 123
Theoretical density (Mg/m³): 10.84
Crystal system: cubic
Space-group type: No. 216
DOS(E_F) (states/eV/cell): 9.03

> Which of these has the highest DOS(E_F)?

UPaZnTc

> What is the theoretical density in the fourth record?

14.46 Mg/m³

> What is the formation energy from the elements in the second record?

170 meV per atom

> Which of these has the highest DOS(E_F)?

UPaZnTc